# LiY2

LiY2 after structural relaxation (PBEsol, the Alexandria database).

Cell and atoms, written as POSCAR:
```
LiY2
1.0
3.6478 0.0000 0.0000
-1.8239 6.1726 0.1081
0.0000 -2.5124 7.2058
Li Y
2 4
Direct
0.0284 0.0568 0.0857
0.6932 0.3865 0.3577
0.3611 0.7222 0.7221
0.3612 0.7225 0.2228
0.0481 0.0962 0.5411
0.6746 0.3492 0.9040
```

## Properties
Energy of formation from the pure elements   0.1310 eV/atom
Total energy   -30.44 eV for the cell shown
Density   3.8 g/cm³
Spin magnetization   0.0001 μB per atom
Energy relative to the lowest polymorph listed for this composition   12 kJ/mol of formula units


# Li2CoSiO4

Li2CoSiO4 after structural relaxation (PBEsol, the Alexandria database).

Cell and atoms, written as POSCAR:
```
Li2CoSiO4
1.0
5.0230 0.0000 0.0000
0.0000 6.2177 0.0000
0.0000 0.0000 10.6379
Li Co Si O
8 4 4 16
Direct
0.7960 0.8702 0.5759
0.1904 0.1211 0.6636
0.6904 0.6211 0.8364
0.2960 0.3702 0.9241
0.7040 0.8702 0.0759
0.3096 0.1211 0.1636
0.8096 0.6211 0.3364
0.2040 0.3702 0.4241
0.6870 0.1179 0.8337
0.8130 0.1179 0.3337
0.1870 0.6179 0.6663
0.3130 0.6179 0.1663
0.6891 0.3690 0.5880
0.1891 0.8690 0.9120
0.8109 0.3690 0.0880
0.3109 0.8690 0.4120
0.1998 0.8676 0.5570
0.3607 0.3702 0.5900
0.7949 0.5864 0.6609
0.7960 0.1509 0.6609
0.2960 0.6509 0.8391
0.2949 0.0864 0.8391
0.8607 0.8702 0.9100
0.6998 0.3676 0.9430
0.3002 0.8676 0.0570
0.1393 0.3702 0.0900
0.7051 0.5864 0.1609
0.7040 0.1509 0.1609
0.2040 0.6509 0.3391
0.2051 0.0864 0.3391
0.6393 0.8702 0.4100
0.8002 0.3676 0.4430
```

## Properties
Energy relative to the elements, uncorrected   -16.369 eV/f.u.
Total energy   -219.14 eV for the cell shown
Density   3.3 g/cm³
Spin magnetization   0.3750 μB per atom
Energy relative to the lowest polymorph listed for this composition   5 kJ/mol of formula units


# Rb2PrO3

Rb2PrO3 after structural relaxation (PBEsol, the Alexandria database).

Cell and atoms, written as POSCAR:
```
Rb2PrO3
1.0
6.6908 -0.0019 0.0000
-2.1275 6.3436 0.0000
-2.2817 -3.1708 11.2280
Rb Pr O
8 4 12
Direct
0.9958 0.4958 0.9916
0.7458 0.7458 0.4916
0.4234 0.4234 0.8469
0.5766 0.5766 0.1531
0.6734 0.1734 0.3469
0.8266 0.3266 0.6531
0.5042 0.0042 0.0084
0.2542 0.2542 0.5084
0.0849 0.0849 0.1697
0.9151 0.9151 0.8303
0.3349 0.8349 0.6697
0.1651 0.6651 0.3303
0.1846 0.1846 0.0000
0.1434 0.7019 0.8056
0.8963 0.3378 0.1944
0.6622 0.1037 0.8056
0.2981 0.8566 0.1944
0.4346 0.9346 0.5000
0.8154 0.8154 0.0000
0.9519 0.8934 0.3056
0.5878 0.6463 0.6944
0.3537 0.4122 0.3056
0.1066 0.0481 0.6944
0.0654 0.5654 0.5000
```

## Properties
Energy relative to the elements, uncorrected   -11.387 eV/f.u.
Total energy   -137.48 eV for the cell shown
Density   5.0 g/cm³
Spin magnetization   0.1683 μB per atom


# Cr2MoRh

Cr2MoRh after structural relaxation (PBEsol, the Alexandria database).

Cell and atoms, written as POSCAR:
```
Cr2MoRh
1.0
-0.9577 -2.2844 -0.7670
2.1662 0.5082 -1.3315
4.3982 -3.7640 5.7187
Cr Mo Rh
2 1 1
Direct
0.0000 0.0000 0.9891
0.5000 0.5000 0.7653
0.0000 0.0000 0.5087
0.5000 0.5000 0.2369
```

## Properties
Energy of formation from the pure elements   0.1356 eV/atom
Total energy   -39.85 eV for the cell shown
Density   9.7 g/cm³
Spin magnetization   0.0005 μB per atom


# Ti2Si2Os

Ti2Si2Os after structural relaxation (PBEsol, the Alexandria database).

Cell and atoms, written as POSCAR:
```
Ti2Si2Os
1.0
3.7728 0.0000 0.0000
0.0000 6.1566 0.0000
0.0000 0.0000 6.1566
Si Os Ti
4 2 4
Direct
0.0000 0.3645 0.8645
0.0000 0.8645 0.6355
0.0000 0.6355 0.1355
0.0000 0.1355 0.3645
0.0000 0.0000 0.0000
0.0000 0.5000 0.5000
0.5000 0.1689 0.6689
0.5000 0.6689 0.8311
0.5000 0.8311 0.3311
0.5000 0.3311 0.1689
```

## Properties
Energy relative to the elements, uncorrected   -3.938 eV/f.u.
Total energy   -88.58 eV for the cell shown
Density   7.9 g/cm³
Spin magnetization   0.0000 μB per atom


# Hg2TeRh

Hg2TeRh after structural relaxation (PBEsol, the Alexandria database).

Cell and atoms, written as POSCAR:
```
Hg2TeRh
1.0
3.7821 0.0000 0.0000
0.0000 3.7821 0.0000
0.0000 0.0000 5.6524
Hg Rh Te
2 1 1
Direct
0.0000 0.0000 0.7647
0.0000 0.0000 0.2353
0.5000 0.5000 0.0000
0.5000 0.5000 0.5000
```

## Properties
Energy relative to the elements, uncorrected   1.004 eV/f.u.
Total energy   -11.79 eV for the cell shown
Density   13.0 g/cm³
Spin magnetization   0.0000 μB per atom
Energy relative to the lowest polymorph listed for this composition   0 kJ/mol of formula units


# Ba2MnRe

Ba2MnRe after structural relaxation (PBEsol, the Alexandria database).

Cell and atoms, written as POSCAR:
```
Ba2MnRe
1.0
-0.0112 3.9678 3.6412
-3.5810 4.0032 -0.3908
-4.0208 0.3734 3.5631
Ba Mn Re
2 1 1
Direct
0.2500 0.2500 0.2500
0.7500 0.7500 0.7500
0.0000 0.0000 0.0000
0.5000 0.5000 0.5000
```

## Properties
Energy of formation from the pure elements   1.3593 eV/atom
Total energy   -21.95 eV for the cell shown
Density   7.8 g/cm³
Spin magnetization   1.4916 μB per atom
Energy relative to the lowest polymorph listed for this composition   248 kJ/mol of formula units


# BeSnSeO2

BeSnSeO2 after structural relaxation (PBEsol, the Alexandria database).

Cell and atoms, written as POSCAR:
```
BeSnSeO2
1.0
3.7097 0.0000 0.0000
0.0000 3.7097 0.0000
0.0000 0.0000 4.7387
O Be Sn Se
2 1 1 1
Direct
0.0000 0.5000 0.0000
0.5000 0.0000 0.0000
0.0000 0.0000 0.0000
0.5000 0.5000 0.5000
0.0000 0.0000 0.5000
```

## Properties
Energy relative to the elements, uncorrected   -2.398 eV/f.u.
Total energy   -25.01 eV for the cell shown
Density   6.1 g/cm³
Spin magnetization   0.2105 μB per atom


Please write out number 7 again, unchanged.
# Ba2MnRe

Ba2MnRe after structural relaxation (PBEsol, the Alexandria database).

Cell and atoms, written as POSCAR:
```
Ba2MnRe
1.0
-0.0112 3.9678 3.6412
-3.5810 4.0032 -0.3908
-4.0208 0.3734 3.5631
Ba Mn Re
2 1 1
Direct
0.2500 0.2500 0.2500
0.7500 0.7500 0.7500
0.0000 0.0000 0.0000
0.5000 0.5000 0.5000
```

## Properties
Energy of formation from the pure elements   1.3593 eV/atom
Total energy   -21.95 eV for the cell shown
Density   7.8 g/cm³
Spin magnetization   1.4916 μB per atom
Energy relative to the lowest polymorph listed for this composition   248 kJ/mol of formula units


- Number 8 is which compound?
  BeSnSeO2